14
Lattice="-2.2443 2.3229 -4.8330 -5.4294 -1.2908 -1.6266 -4.1968 4.0072 0.3473" Properties=species:S:1:pos:R:3 comment="Li2MnNi3O8, optimized geometry, DFT GGA+U" polymorph_energy_mev_per_atom=0 crystal_system=trigonal n_ef_per_ev_cell=4.79 pbc="T T T"
Li -10.3549 4.3959 -5.3319
Li -1.5156 0.6434 -0.7804
Ni -3.2205 3.1650 -2.2428
Ni -4.8131 1.3582 -0.6397
Ni -3.8369 0.5161 -3.2298
O -3.1849 1.3521 -1.6400
O -6.8219 1.8944 -4.6416
O -8.6856 3.6872 -4.4723
O -5.0487 3.1449 -1.4707
O -4.1699 2.3869 -3.8022
O -5.6035 0.7605 -2.3591
O -7.7006 2.6524 -2.3100
O -6.2671 4.2789 -3.7531
Mn -5.9353 2.5197 -3.0561